(1)
The following is a PBE calculation of an optimized crystal structure of Nd5Se5S2, from the Alexandria database.

The calculation puts the electronic total energy at -145.52 eV per cell. The formation energy from raw total energies is -1.937 eV/atom.

It has space group C2/m (No. 12), with a = 13.791 Å, b = 4.097 Å, c = 12.286 Å, α = 90.00°, β = 105.69° and γ = 90.00°. Symmetry generates all atoms from Nd at (0.000, 0.000, 0.000), Nd at (0.110, 0.000, 0.414), Nd at (0.190, 0.500, 0.807), Se at (0.000, 0.500, 0.500), Se at (0.162, 0.500, 0.052), Se at (0.243, 0.500, 0.351) and S at (0.042, 0.000, 0.789).

(2)
The following is a PBE calculation of an optimized crystal structure of La3Nd8Ho2, from the Alexandria database.

The calculation puts the electronic total energy at -118.61 eV per cell. The formation energy is 0.21 eV/atom.

It has space group C2/m (No. 12), with a = 20.706 Å, b = 7.780 Å, c = 5.833 Å, α = 90.00°, β = 90.11° and γ = 90.00°. Symmetry generates all atoms from La at (0.000, 0.000, 0.000), La at (0.000, 0.292, 0.500), Nd at (0.109, 0.291, 0.001), Nd at (0.136, 0.000, 0.498), Nd at (0.177, 0.500, 0.503) and Ho at (0.241, 0.000, 0.996).

(3)
The following is a PBE calculation of an optimized crystal structure of KPt, from the Alexandria database.

The calculation puts the electronic total energy at -5.98 eV per cell. The formation energy is 0.58 eV/atom.

It has space group Pm-3m (No. 221), with a = 3.701 Å, b = 3.701 Å, c = 3.701 Å, α = 90.00°, β = 90.00° and γ = 90.00°. Symmetry generates all atoms from K at (0.000, 0.000, 0.000) and Pt at (0.500, 0.500, 0.500).

(4)
The following is a PBE calculation of an optimized crystal structure of BeGaAgPd, from the Alexandria database.

The calculation puts the electronic total energy at -61.91 eV per cell. The formation energy is -0.17 eV/atom.

It has space group F-43m (No. 216), with a = 6.084 Å, b = 6.084 Å, c = 6.084 Å, α = 90.00°, β = 90.00° and γ = 90.00°. Symmetry generates all atoms from Be at (0.000, 0.000, 0.000), Ga at (0.000, 0.000, 0.500), Ag at (0.250, 0.250, 0.750) and Pd at (0.250, 0.250, 0.250).

(5)
The following is a PBE calculation of an optimized crystal structure of SrTeS2, from the Alexandria database.

The calculation puts the electronic total energy at -68.43 eV per cell. The formation energy from raw total energies is -1.008 eV/atom.

It has space group C2/c (No. 15), with a = 8.283 Å, b = 7.948 Å, c = 8.256 Å, α = 90.00°, β = 117.83° and γ = 90.00°. Symmetry generates all atoms from Sr at (0.000, 0.142, 0.250), Te at (0.000, 0.359, 0.750) and S at (0.248, 0.061, 0.656).

(6)
The following is a PBE calculation of an optimized crystal structure of HfGaNi2, from the Alexandria database.

The calculation puts the electronic total energy at -26.20 eV per cell. The formation energy is -0.41 eV/atom.

It has space group P4/mmm (No. 123), with a = 3.048 Å, b = 3.048 Å, c = 6.153 Å, α = 90.00°, β = 90.00° and γ = 90.00°. Symmetry generates all atoms from Hf at (0.000, 0.000, 0.000), Ga at (0.000, 0.000, 0.500) and Ni at (0.500, 0.500, 0.273).

(7)
The following is a PBE calculation of an optimized crystal structure of CaNdP2Pt4, from the Alexandria database.

The calculation puts the electronic total energy at -48.10 eV per cell. The formation energy is -0.79 eV/atom.

It has space group P4/mmm (No. 123), with a = 4.473 Å, b = 4.473 Å, c = 8.334 Å, α = 90.00°, β = 90.00° and γ = 90.00°. Symmetry generates all atoms from Ca at (0.000, 0.000, 0.000), Nd at (0.000, 0.000, 0.500), P at (0.500, 0.500, 0.166) and Pt at (0.000, 0.500, 0.254).

(8)
The following is a PBE calculation of an optimized crystal structure of La2PbCl, from the Alexandria database.

The calculation puts the electronic total energy at -38.68 eV per cell. The formation energy from raw total energies is -0.982 eV/atom.

It has space group Cmmm (No. 65), with a = 4.920 Å, b = 5.387 Å, c = 8.536 Å, α = 90.00°, β = 90.00° and γ = 90.00°. Symmetry generates all atoms from La at (0.000, 0.000, 0.238), Pb at (0.000, 0.500, 0.500) and Cl at (0.000, 0.500, 0.000).

(9)
The following is a PBE calculation of an optimized crystal structure of CdBi2OsO8, from the Alexandria database.

The calculation puts the electronic total energy at -71.75 eV per cell. The formation energy from raw total energies is -1.015 eV/atom.

It has space group P-1 (No. 2), with a = 5.046 Å, b = 5.049 Å, c = 7.036 Å, α = 90.02°, β = 90.00° and γ = 91.03°. Symmetry generates all atoms from Cd at (0.000, 0.000, 0.000), Bi at (0.500, 0.500, 0.248), Os at (0.000, 0.000, 0.500), O at (0.181, 0.822, 0.301), O at (0.182, 0.823, 0.699), O at (0.262, 0.267, 0.499) and O at (0.304, 0.306, 0.000).

(10)
The following is a PBE calculation of an optimized crystal structure of Li2LaHg10, from the Alexandria database.

The calculation puts the electronic total energy at -57.07 eV per cell. The formation energy is -0.19 eV/atom.

It has space group Fmmm (No. 69), with a = 5.867 Å, b = 14.170 Å, c = 14.736 Å, α = 90.00°, β = 90.00° and γ = 90.00°. Symmetry generates all atoms from Li at (0.250, 0.000, 0.250), La at (0.000, 0.000, 0.000), Hg at (0.000, 0.103, 0.387), Hg at (0.000, 0.158, 0.181) and Hg at (0.250, 0.250, 0.000).

(11)
The following is a PBE calculation of an optimized crystal structure of Tb2Sm5HoEr, from the Alexandria database.

The calculation puts the electronic total energy at -162.76 eV per cell. The formation energy is 0.15 eV/atom.

It has space group Cmc2_1 (No. 36), with a = 5.623 Å, b = 20.192 Å, c = 10.637 Å, α = 90.00°, β = 90.00° and γ = 90.00°. Symmetry generates all atoms from Tb at (0.000, 0.112, 0.000), Tb at (0.000, 0.115, 0.577), Sm at (0.000, 0.017, 0.282), Sm at (0.000, 0.280, 0.574), Sm at (0.000, 0.299, 0.970), Sm at (0.000, 0.386, 0.285), Sm at (0.000, 0.482, 0.005), Ho at (0.000, 0.199, 0.273) and Er at (0.000, 0.409, 0.723).

(12)
The following is a PBE calculation of an optimized crystal structure of K4AlSe, from the Alexandria database.

The calculation puts the electronic total energy at -39.93 eV per cell. The formation energy from raw total energies is 0.272 eV/atom.

It has space group F-43m (No. 216), with a = 9.930 Å, b = 9.930 Å, c = 9.930 Å, α = 90.00°, β = 90.00° and γ = 90.00°. Symmetry generates all atoms from K at (0.123, 0.123, 0.123), Al at (0.000, 0.000, 0.500) and Se at (0.250, 0.250, 0.750).